VASP calculation (GGA-PBE) on a relaxed Ce4Ho3In4 crystal.

Output
For the uncorrected energy, the calculation gives -0.342 Ry per atom. The crystal system is orthorhombic.

Cell and atoms, written as POSCAR:
```
Ce4Ho3In4
1.0
-3.334 1.055 -0.413
-2.843 -7.078 4.880
3.784 8.468 6.086
Ce Ho In
4 3 4
direct
0.342 0.188 0.684 Ce
0.658 0.504 0.316 Ce
0.658 0.812 0.316 Ce
0.342 0.496 0.684 Ce
0.095 0.095 0.189 Ho
0.905 0.905 0.811 Ho
0.000 0.500 0.000 Ho
0.278 0.778 0.557 In
0.722 0.222 0.443 In
0.500 0.786 0.000 In
0.500 0.214 0.000 In
```

VASP calculation (GGA-PBE) on a relaxed Sm6Ho crystal.

Output
For the uncorrected energy, the calculation gives -0.247 Ry per atom. The crystal system is cubic.

Cell and atoms, written as POSCAR:
```
Sm6Ho
1.0
6.999 0.000 0.000
-2.333 6.598 0.000
-2.333 -3.299 5.714
Sm Ho
6 1
direct
0.250 0.750 0.500 Sm
0.500 0.750 0.250 Sm
0.250 0.500 0.750 Sm
0.750 0.250 0.500 Sm
0.500 0.250 0.750 Sm
0.750 0.500 0.250 Sm
0.000 0.000 0.000 Ho
```

VASP calculation (GGA-PBE) on a relaxed MnInRu2C crystal.

Output
For the uncorrected energy, the calculation gives -0.581 Ry per atom. The crystal system is tetragonal.

Cell and atoms, written as POSCAR:
```
MnInRu2C
1.0
4.139 0.000 0.000
0.000 4.139 0.000
0.000 0.000 3.924
Ru C Mn In
2 1 1 1
direct
0.000 0.500 0.000 Ru
0.500 0.000 0.000 Ru
0.000 0.000 0.000 C
0.000 0.000 0.500 Mn
0.500 0.500 0.500 In
```

Table of total moment (μB per cell), in record order: 2.96 0.00 2.78
Table of ρ (g/cm3), in record order: 7.908 6.715 9.480